{
  "formula": "LiScAl2",
  "functional": "PBE",
  "state": "optimized geometry",
  "spacegroup": "F-43m, No. 216",
  "e_tot_ev_per_cell": -16.482,
  "m_tot_mub_per_fu": 0.0,
  "formation_energy_ev_per_atom": -0.19,
  "lattice": [[-2.227, -0.018, -4.010], [-3.063, -3.291, -0.908], [-4.473, 1.006, -0.144]],
  "species": ["Sc", "Li", "Al", "Al"],
  "frac_coords": [[0.750, 0.750, 0.750], [0.500, 0.500, 0.500], [0.250, 0.250, 0.250], [0.000, 0.000, 0.000]]
}

{
  "formula": "TaNCl6",
  "functional": "PBE",
  "state": "optimized geometry",
  "spacegroup": "C2/c, No. 15",
  "e_tot_ev_per_cell": -69.268,
  "raw_formation_energy_ev_per_atom": -0.42,
  "m_tot_mub_per_fu": 2.0,
  "lattice": [[-3.205, -3.665, -4.768], [3.688, -3.527, -4.516], [-0.330, -6.769, 12.722]],
  "species": ["Cl", "Cl", "Cl", "Cl", "Cl", "Cl", "Cl", "N", "Cl", "Ta", "Cl", "N", "Cl", "Ta", "Cl", "Cl"],
  "frac_coords": [[0.663, 0.719, 0.400], [0.857, 0.049, 0.103], [0.049, 0.857, 0.603], [0.544, 0.789, 0.108], [0.789, 0.544, 0.608], [0.719, 0.663, 0.900], [0.143, 0.951, 0.897], [0.815, 0.185, 0.250], [0.337, 0.281, 0.600], [0.500, 0.000, 0.000], [0.281, 0.337, 0.100], [0.185, 0.815, 0.750], [0.456, 0.211, 0.892], [0.000, 0.500, 0.500], [0.211, 0.456, 0.392], [0.951, 0.143, 0.397]]
}

{
  "formula": "Ca3TlP",
  "functional": "PBE",
  "state": "optimized geometry",
  "spacegroup": "P6_3/mmc, No. 194",
  "e_tot_ev_per_cell": -31.037,
  "polymorph_energy_mev_per_atom": 372,
  "m_tot_mub_per_fu": 0.0,
  "formation_energy_ev_per_atom": -0.35,
  "lattice": [[4.190, -2.419, 0.000], [0.000, 4.838, 0.000], [0.000, 0.000, 17.812]],
  "species": ["Ca", "Tl", "P", "Tl", "Ca", "Ca", "Ca", "Ca", "P", "Ca"],
  "frac_coords": [[0.333, 0.667, 0.568], [0.667, 0.333, 0.250], [0.000, 0.000, 0.000], [0.333, 0.667, 0.750], [0.000, 0.000, 0.250], [0.000, 0.000, 0.750], [0.333, 0.667, 0.932], [0.667, 0.333, 0.432], [0.000, 0.000, 0.500], [0.667, 0.333, 0.068]]
}

{
  "formula": "Np2Ge3Pd",
  "functional": "PBE",
  "state": "optimized geometry",
  "spacegroup": "Cm, No. 8",
  "e_tot_ev_per_cell": -46.593,
  "m_tot_mub_per_fu": 7.6,
  "formation_energy_ev_per_atom": -0.28,
  "lattice": [[-2.084, 3.108, 2.456], [-5.565, -1.275, 0.970], [-1.171, -1.680, 5.211]],
  "species": ["Pd", "Np", "Np", "Ge", "Ge", "Ge"],
  "frac_coords": [[0.157, 0.384, 0.301], [0.466, 0.811, 0.256], [0.530, 0.182, 0.758], [0.802, 0.234, 0.162], [0.188, 0.776, 0.849], [0.857, 0.613, 0.673]]
}

Copy entry 3 word for word.
{
  "formula": "Ca3TlP",
  "functional": "PBE",
  "state": "optimized geometry",
  "spacegroup": "P6_3/mmc, No. 194",
  "e_tot_ev_per_cell": -31.037,
  "polymorph_energy_mev_per_atom": 372,
  "m_tot_mub_per_fu": 0.0,
  "formation_energy_ev_per_atom": -0.35,
  "lattice": [[4.190, -2.419, 0.000], [0.000, 4.838, 0.000], [0.000, 0.000, 17.812]],
  "species": ["Ca", "Tl", "P", "Tl", "Ca", "Ca", "Ca", "Ca", "P", "Ca"],
  "frac_coords": [[0.333, 0.667, 0.568], [0.667, 0.333, 0.250], [0.000, 0.000, 0.000], [0.333, 0.667, 0.750], [0.000, 0.000, 0.250], [0.000, 0.000, 0.750], [0.333, 0.667, 0.932], [0.667, 0.333, 0.432], [0.000, 0.000, 0.500], [0.667, 0.333, 0.068]]
}